The following is a DFT calculation (PBE) of crystalline Ce2PuHf at its relaxed geometry.

Summary:
Calculated density   11.92 g cm⁻³
Symmetry   No. 166
E above lowest polymorph   573 meV/atom
Total energy   -8.332 eV per atom
DFT formation energy   0.71 eV per atom
V   24.479 Å³ per atom

Cell: 3.484 3.484 27.945 Å, 90.00 90.00 120.00°
Element x y z (fractional)
Ce 0.000 0.000 0.109
Ce 0.000 0.000 0.891
Ce 0.333 0.667 0.558
Ce 0.333 0.667 0.776
Ce 0.667 0.333 0.224
Ce 0.667 0.333 0.442
Pu 0.000 0.000 0.500
Pu 0.333 0.667 0.167
Pu 0.667 0.333 0.833
Hf 0.000 0.000 0.000
Hf 0.333 0.667 0.667
Hf 0.667 0.333 0.333